The following is a DFT calculation (PBE-GGA) of Nd2CuF8 after structural relaxation.

Geometry as POSCAR:
```
Nd2CuF8
1.0
7.115 -1.766 0.000
7.115 1.766 0.000
-1.370 0.000 6.075
Nd Cu F
2 1 8
Cartesian
2.280 0.000 1.262
10.581 0.000 4.813
6.430 0.000 3.037
-0.102 0.000 2.024
1.861 0.000 5.105
3.937 0.000 3.155
4.420 0.000 5.892
8.441 0.000 0.183
8.924 0.000 2.920
11.000 0.000 0.970
12.963 0.000 4.051
```

Properties
**Formation energy (no corrections)**: -3.261 eV/atom
**Density of states at the Fermi level**: 0.366 states/eV/atom
**Calculated volume**: 153 Å³/cell
**Total magnetization**: 1.00 μB per cell
**Symmetry**: C2/m (12)

***

The following is a DFT calculation (PBE-GGA) of NdCuF5 after structural relaxation.

Geometry as POSCAR:
```
NdCuF5
1.0
4.540 -3.569 0.000
4.540 3.569 0.000
-3.118 0.000 6.938
Nd Cu F
2 2 10
Cartesian
2.202 3.136 5.204
3.761 -3.136 1.735
4.540 0.000 0.000
2.981 0.000 3.469
4.304 2.283 0.241
3.218 2.283 3.228
1.298 0.224 2.644
-0.261 -0.224 6.113
2.202 0.728 5.204
3.761 -0.728 1.735
6.223 0.224 0.825
4.664 -0.224 4.294
2.745 -2.283 3.710
1.659 -2.283 6.697
```

Properties
**Formation energy (no corrections)**: -2.946 eV/atom
**Density of states at the Fermi level**: 0.264 states/eV/atom
**Calculated volume**: 225 Å³/cell
**Total magnetization**: 2.00 μB per cell
**Symmetry**: C2/c (15)